A plane-wave DFT calculation with GGA-PBE was carried out for a geometry-optimized KNpAg2Cl6 structure.

a = 7.2876 Å, b = 7.2900 Å, c = 7.7586 Å
α = 62.04°, β = 62.04°, γ = 60.03°
With the nearest neighbours (Å) after each atom.
Space group P-1 (No. 2)
Asymmetric unit:
K  0.0000  0.0000  0.0000 (multiplicity 1)  6 Cl 3.14
Np  0.5000  0.5000  0.5000 (multiplicity 1)  6 Cl 2.74-2.75
Ag  0.3130  0.3133  0.0602 (multiplicity 2)  6 Cl 2.71-2.95
Cl  0.1036  0.6998  0.7558 (multiplicity 2)  2 Ag 2.71-2.95, 1 Np 2.75
Cl  0.3000  0.5588  0.2443 (multiplicity 2)  2 Ag 2.71-2.95, 1 Np 2.74
Cl  0.4406  0.1040  0.7568 (multiplicity 2)  2 Ag 2.72-2.94, 1 Np 2.75

Calculated values
Formation energy (no corrections) = -1.252 eV per atom
Electronic total energy = -0.3185 Ry per atom
M_tot = 4.00 μB/cell
Density of states at the Fermi level = 5.9 states/eV/f.u.
Density = 3.90 g/cm³